DFT (PBE) results for a relaxed structure of CeZrOsRh.

Geometry as POSCAR:
```
CeZrOsRh
1.0
0.0000 3.3799 3.3799
3.3799 0.0000 3.3799
3.3799 3.3799 0.0000
Ce Zr Os Rh
1 1 1 1
Direct
0.0000 0.0000 0.0000 Ce
0.5000 0.5000 0.5000 Zr
0.2500 0.2500 0.2500 Os
0.7500 0.7500 0.7500 Rh
```

Properties
* formation enthalpy at 0 K: -0.429 eV/atom
* raw total energy: -8.69 eV per atom
* space group: F-43m
* magnetization: 0.267 Bohr magnetons per cell

DFT (PBE) results for a relaxed structure of Ce6OsRu.

Geometry as POSCAR:
```
Ce6OsRu
1.0
6.4451 0.0000 0.0000
3.2184 5.5843 0.0000
3.2166 1.8560 6.4680
Ce Os Ru
6 1 1
Direct
0.0581 0.2518 0.2499 Ce
0.2479 0.0603 0.7498 Ce
0.4395 0.5586 0.2500 Ce
0.5605 0.4414 0.7500 Ce
0.7521 0.9397 0.2502 Ce
0.9419 0.7482 0.7501 Ce
0.5000 0.0000 0.0000 Os
0.0000 0.5000 0.5000 Ru
```

Properties
* relative energy among the computed polymorphs: 0.000 eV per atom
* formation enthalpy at 0 K: -0.004 eV/atom
* raw total energy: -7.02 eV per atom
* space group: P-1
* magnetization: 4.592 Bohr magnetons per cell

DFT (PBE) results for a relaxed structure of Ce2OsRu.

Geometry as POSCAR:
```
Ce2OsRu
1.0
1.5162 0.8754 9.7645
-1.5162 0.8754 9.7645
0.0000 -1.7508 9.7645
Ce Os Ru
2 1 1
Direct
0.0876 0.0876 0.0876 Ce
0.9124 0.9124 0.9124 Ce
0.0000 0.0000 0.0000 Os
0.5000 0.5000 0.5000 Ru
```

Properties
* formation enthalpy at 0 K: 0.341 eV/atom
* raw total energy: -7.75 eV per atom
* space group: R-3m
* magnetization: 0.000 Bohr magnetons per cell

DFT (PBE) results for a relaxed structure of Ce2OsRu.

Geometry as POSCAR:
```
Ce2OsRu
1.0
3.4374 -1.9786 0.0000
3.4374 1.9786 0.0000
-2.2874 0.0000 6.4733
Ce Os Ru
2 1 1
Direct
0.2498 0.2498 0.2492 Ce
0.7502 0.7502 0.7508 Ce
0.5000 0.5000 0.0000 Os
0.0000 0.0000 0.5000 Ru
```

Properties
* formation enthalpy at 0 K: -0.008 eV/atom
* raw total energy: -8.10 eV per atom
* space group: C2/m
* magnetization: 0.000 Bohr magnetons per cell

DFT (PBE) results for a relaxed structure of Ce2OsRu.

Geometry as POSCAR:
```
Ce2OsRu
1.0
3.3529 0.0000 0.0000
0.0000 3.3529 0.0000
0.0000 0.0000 7.3031
Ce Os Ru
2 1 1
Direct
0.0000 0.0000 0.2498 Ce
0.0000 0.0000 0.7502 Ce
0.5000 0.5000 0.0000 Os
0.5000 0.5000 0.5000 Ru
```

Properties
* formation enthalpy at 0 K: -0.191 eV/atom
* raw total energy: -8.28 eV per atom
* space group: P4/mmm
* magnetization: 0.000 Bohr magnetons per cell

DFT (PBE) results for a relaxed structure of Ce4OsRu2.

Geometry as POSCAR:
```
Ce4OsRu2
1.0
6.1465 -4.2367 0.0000
6.1465 4.2367 0.0000
-5.7319 0.0000 6.1565
Ce Os Ru
8 2 4
Direct
0.0182 0.0182 0.2199 Ce
0.2649 0.5177 0.5764 Ce
0.4314 0.2180 0.8860 Ce
0.4823 0.7351 0.4236 Ce
0.5394 0.0868 0.2566 Ce
0.7820 0.5686 0.1140 Ce
0.9132 0.4606 0.7434 Ce
0.9818 0.9818 0.7801 Ce
0.5772 0.1914 0.6242 Os
0.8086 0.4228 0.3758 Os
0.1064 0.8936 0.5000 Ru
0.1587 0.4466 0.1258 Ru
0.3027 0.6973 0.0000 Ru
0.5534 0.8413 0.8742 Ru
```

Properties
* relative energy among the computed polymorphs: 0.007 eV per atom
* formation enthalpy at 0 K: -0.258 eV/atom
* raw total energy: -7.90 eV per atom
* space group: C2
* magnetization: 0.113 Bohr magnetons per cell

DFT (PBE) results for a relaxed structure of Ce4OsRu.

Geometry as POSCAR:
```
Ce4OsRu
1.0
0.0000 5.5242 6.5736
4.1795 0.0000 6.5736
4.1795 5.5242 0.0000
Ce Os Ru
8 2 2
Direct
0.0053 0.4704 0.7616 Ce
0.2384 0.7372 0.9947 Ce
0.2628 0.7616 0.4704 Ce
0.4704 0.0053 0.2628 Ce
0.5296 0.9947 0.7372 Ce
0.7372 0.2384 0.5296 Ce
0.7616 0.2628 0.0053 Ce
0.9947 0.5296 0.2384 Ce
0.1250 0.1250 0.1250 Os
0.8750 0.8750 0.8750 Os
0.3750 0.3750 0.3750 Ru
0.6250 0.6250 0.6250 Ru
```

Properties
* relative energy among the computed polymorphs: 0.068 eV per atom
* formation enthalpy at 0 K: -0.149 eV/atom
* raw total energy: -7.52 eV per atom
* space group: Fddd
* magnetization: 1.012 Bohr magnetons per cell

DFT (PBE) results for a relaxed structure of Ce6OsRu2.

Geometry as POSCAR:
```
Ce6OsRu2
1.0
5.1836 -2.3614 0.0000
5.1836 2.3614 0.0000
-1.6601 0.0000 8.3669
Ce Os Ru
6 1 2
Direct
0.0510 0.0510 0.3292 Ce
0.3231 0.3231 0.9144 Ce
0.3892 0.3892 0.3269 Ce
0.6108 0.6108 0.6731 Ce
0.6769 0.6769 0.0856 Ce
0.9490 0.9490 0.6708 Ce
0.0000 0.0000 0.0000 Os
0.2722 0.2722 0.6232 Ru
0.7278 0.7278 0.3768 Ru
```

Properties
* relative energy among the computed polymorphs: 0.000 eV per atom
* formation enthalpy at 0 K: -0.262 eV/atom
* raw total energy: -7.53 eV per atom
* space group: C2/m
* magnetization: 0.000 Bohr magnetons per cell